This record from the Alexandria database describes Te2PdBr after structural relaxation. The functional is PBE.

```
Te2PdBr
1.0
8.0402 0.0000 0.0000
0.0000 3.9407 0.0000
0.0000 0.0000 15.6974
Te Pd Br
8 4 4
direct
0.2293 0.2500 0.1840
0.2404 0.2500 0.5463
0.2596 0.7500 0.0463
0.2707 0.7500 0.6840
0.7293 0.2500 0.3160
0.7404 0.2500 0.9537
0.7596 0.7500 0.4537
0.7707 0.7500 0.8160
0.0101 0.7500 0.5767
0.4899 0.2500 0.0767
0.5101 0.7500 0.9233
0.9899 0.2500 0.4233
0.1991 0.7500 0.3529
0.3009 0.2500 0.8529
0.6991 0.7500 0.1471
0.8009 0.2500 0.6471
```

Values from the calculation:
Spin magnetization: 0.000 μB/f.u.
Electronic total energy: -3.45 eV/atom